CuHgN2: relaxed, PBE-GGA.

a b c (Å): 5.722 5.722 5.722
angles (deg): 128.56 128.56 75.72
Fractional coordinates of all 8 atoms:
Cu1 0.000 0.000 0.000
Cu2 0.750 0.250 0.500
Hg1 0.250 0.750 0.500
Hg2 0.500 0.500 0.000
N1 0.053 0.625 0.928
N2 0.375 0.303 0.428
N3 0.697 0.125 0.072
N4 0.875 0.947 0.572

Results
The mass density is 8.708 g/cm3. For the formation energy from raw total energies, the calculation gives 1.28 eV/atom. The total magnetization is 0.000 μB/atom.